# TaRuRh3, PBEsol geometry, DFT SCAN
# VASP energy: -194.7 eV/cell
# Space group: Pm-3m
data_TaRuRh3
_cell_length_a 4.514
_cell_length_b 4.514
_cell_length_c 4.514
_cell_angle_alpha 90.00
_cell_angle_beta 90.00
_cell_angle_gamma 90.00
_space_group_name_H-M_alt 'P 1'
_space_group_IT_number 1
_space_group_name_Hall 'P 1'
loop_
_atom_site_label
_atom_site_type_symbol
_atom_site_fract_x
_atom_site_fract_y
_atom_site_fract_z
Ta1 Ta 0.000 0.000 0.000
Ru1 Ru 0.500 0.500 0.500
Rh1 Rh 0.000 0.500 0.500
Rh2 Rh 0.500 0.000 0.500
Rh3 Rh 0.500 0.500 0.000